(1)
Here is crystalline BaGaAs2S8 at its relaxed geometry from Alexandria via LeMat-Bulk. Energies are from GGA-PBE.

Structure (POSCAR):
```
BaGaAs2S8
1.0
6.0694 0.0000 0.0000
-3.0347 5.2562 0.0000
0.0000 0.0000 9.0203
Ba Ga As S
1 1 2 8
direct
0.0000 0.0000 0.0000
0.0000 0.0000 0.5000
0.3333 0.6667 0.7353
0.6667 0.3333 0.2647
0.0152 0.6971 0.3230
0.3029 0.3182 0.3230
0.3182 0.0152 0.6770
0.3333 0.6667 0.9766
0.6667 0.3333 0.0234
0.6818 0.9848 0.3230
0.6971 0.6818 0.6770
0.9848 0.3029 0.6770
```

Summary:
DOS(E_F) = 12.60 states/eV/cell
Magnetic moment = 0.09 μB/f.u.
Formation energy (no corrections) = -0.368 eV per atom

(2)
Here is crystalline NbAg3Ru at its relaxed geometry from Alexandria via LeMat-Bulk. Energies are from GGA-PBE.

Structure (POSCAR):
```
NbAg3Ru
1.0
5.0408 0.0000 0.0000
0.0000 5.0408 0.0000
0.0000 0.0000 5.0408
Nb Ag Ru
1 3 1
direct
0.0000 0.0000 0.0000
0.0000 0.0000 0.5000
0.0000 0.5000 0.0000
0.5000 0.0000 0.0000
0.5000 0.5000 0.5000
```

Summary:
DOS(E_F) = 5.24 states/eV/cell
Energy above the most stable polymorph in this dataset = 246 meV/atom
Magnetic moment = 3.60 μB/f.u.
Energy of formation = 2.07 eV/atom

(3)
Here is crystalline Fe3ReGe at its relaxed geometry from Alexandria via LeMat-Bulk. Energies are from GGA-PBE.

Structure (POSCAR):
```
Fe3ReGe
1.0
4.5258 0.0000 0.0000
0.0000 4.5258 0.0000
0.0000 0.0000 4.5258
Fe Re Ge
3 1 1
direct
0.0000 0.0000 0.5000
0.0000 0.5000 0.0000
0.5000 0.0000 0.0000
0.0000 0.0000 0.0000
0.5000 0.5000 0.5000
```

Summary:
DOS(E_F) = 6.40 states/eV/cell
Energy above the most stable polymorph in this dataset = 0 meV/atom
Magnetic moment = 5.83 μB/f.u.
Energy of formation = 1.47 eV/atom